Compound: BaEuGa
Source: Alexandria via LeMat-Bulk
Functional: PBE
Structure: optimized geometry

Properties
- offset from the most stable computed form (eV/atom) = 0.0000

a = 4.003 Å, b = 4.003 Å, c = 13.985 Å
α = 90.00°, β = 90.00°, γ = 90.00°
Element x y z (fractional)
1 Ba 0.000 0.000 0.000
2 Ba 0.500 0.500 0.500
3 Eu 0.000 0.000 0.260
4 Eu 0.500 0.500 0.760
5 Ga 0.000 0.000 0.650
6 Ga 0.500 0.500 0.150

Compound: Pr4Ag2Sn
Source: Alexandria via LeMat-Bulk
Functional: PBE
Structure: optimized geometry

Properties
- offset from the most stable computed form (eV/atom) = 0.0371

a = 9.070 Å, b = 9.070 Å, c = 9.070 Å
α = 34.28°, β = 34.28°, γ = 34.28°
Element x y z (fractional)
1 Pr 0.116 0.116 0.116
2 Pr 0.369 0.369 0.369
3 Pr 0.631 0.631 0.631
4 Pr 0.884 0.884 0.884
5 Ag 0.244 0.244 0.244
6 Ag 0.756 0.756 0.756
7 Sn 0.500 0.500 0.500

Q: Look up the offset from the most stable computed form of the second one.
A: 0.0371 eV/atom

Q: Which of these has the highest offset from the most stable computed form?
A: Pr4Ag2Sn

Q: offset from the most stable computed form of number 2 (Pr4Ag2Sn)?
A: 0.0371 eV/atom

Q: Which formula does entry 1 have?
A: BaEuGa